The following is a DFT calculation (PBE) of AlTlCd2 after structural relaxation. Values from VASP.

Quantum ESPRESSO input file:
```
&SYSTEM
  ibrav = 0, nat = 4, ntyp = 3
/
ATOMIC_SPECIES
Al 26.98 Al.upf
Tl 204.38 Tl.upf
Cd 112.41 Cd.upf
CELL_PARAMETERS angstrom
3.100 -4.919 0.000
3.100 4.919 0.000
0.000 0.000 3.119
ATOMIC_POSITIONS angstrom
Al 0.000 0.000 0.000
Tl 3.100 0.000 0.000
Cd 1.550 2.460 1.559
Cd 1.550 -2.460 1.559
```

Output
For the total magnetic moment, the calculation gives 0.00 μB/f.u. Its crystal system is orthorhombic. The density of states at the Fermi level comes out at 1.64 states/eV/f.u. The space-group type is No. 65. For the energy above the most stable polymorph in this dataset, the calculation gives 74 meV per atom. The total energy is -7.19 eV/cell. The formation energy comes out at 0.187 eV per atom.